A plane-wave DFT calculation with PBE+U was carried out for a geometry-optimized BaEuFeBiO6 structure.

Unit cell a=5.8795 b=5.8795 c=5.8795 alpha=60.00 beta=60.00 gamma=60.00
Closest atoms and distances in Å follow each position.
Element x y z (fractional)
Fe: 0.5000 0.5000 0.5000  6 O 2.02
Ba: 0.2500 0.2500 0.2500  12 O 2.94
Eu: 0.7500 0.7500 0.7500  12 O 2.94
O: 0.2574 0.7426 0.2574  1 Fe 2.02, 1 Bi 2.14
O: 0.7426 0.2574 0.2574  1 Fe 2.02, 1 Bi 2.14
O: 0.7426 0.2574 0.7426  1 Fe 2.02, 1 Bi 2.14
O: 0.7426 0.7426 0.2574  1 Fe 2.02, 1 Bi 2.14
O: 0.2574 0.2574 0.7426  1 Fe 2.02, 1 Bi 2.14
O: 0.2574 0.7426 0.7426  1 Fe 2.02, 1 Bi 2.14
Bi: 0.0000 0.0000 0.0000  6 O 2.14

Values from the calculation:
The density of states at the Fermi level is 1.471 states/eV/atom. The total energy is -0.25732 hartree per atom.